# Cr2RuPb (GGA-PBE, optimized geometry)
# energy	-0.273	Ha/atom
# N(E_F)	8.89	states/eV per cell
# total moment	1.363	μB/atom
data_Cr2RuPb
_space_group_name_H-M_alt 'C m m m'
_space_group_IT_number 65
_space_group_name_Hall '-C 2 2'
_cell_length_a 5.739
_cell_length_b 7.501
_cell_length_c 3.020
_cell_angle_alpha 90.00
_cell_angle_beta 90.00
_cell_angle_gamma 90.00
loop_
_atom_site_label
_atom_site_fract_x
_atom_site_fract_y
_atom_site_fract_z
Cr1 0.250 0.250 0.000
Ru1 0.000 0.000 0.500
Pb1 0.000 0.500 0.500